Record 1
The following is a DFT calculation (GGA-PBE) of Nd8In2Sb after structural relaxation.

* raw formation energy: -0.331 eV/atom
* SG: C2/m (12)
* total magnetization: 0.00 μB per formula unit

Structure (POSCAR):
```
Nd8In2Sb
1.0
-4.038 -2.525 -2.330
3.169 -6.239 1.267
-3.571 2.788 9.200
Nd In Sb
8 2 1
Cartesian
-2.856 -2.091 7.213
-0.664 -6.922 2.618
-3.068 -4.664 4.337
-6.649 -1.273 6.869
-1.372 -1.311 3.799
-3.776 0.946 5.518
-1.584 -3.885 0.923
2.209 -4.702 1.267
-4.779 -1.867 4.273
0.339 -4.108 3.863
-2.019 -1.262 -1.165
```

Record 2
The following is a DFT calculation (GGA-PBE) of Li2TiNbO6 after structural relaxation.

* raw formation energy: -2.357 eV/atom
* SG: R3 (146)
* total magnetization: 1.05 μB per formula unit

Structure (POSCAR):
```
Li2TiNbO6
1.0
5.164 0.000 0.000
2.582 4.472 0.000
2.582 1.491 4.674
Li Ti Nb O
2 1 1 6
Cartesian
5.164 2.982 1.929
2.583 1.491 4.284
7.746 4.471 2.578
2.582 1.491 0.330
4.252 1.278 1.226
4.146 4.623 1.225
7.096 3.043 1.226
6.148 4.222 3.549
5.747 1.509 3.549
3.599 3.213 3.548
```

Record 3
The following is a DFT calculation (GGA-PBE) of Li4YNp3S8 after structural relaxation.

* raw formation energy: -1.476 eV/atom
* SG: R-3m (166)
* total magnetization: 12.00 μB per formula unit

Structure (POSCAR):
```
Li4YNp3S8
1.0
-4.563 -0.346 -6.386
-0.980 -7.502 1.107
-1.604 5.164 5.698
Li Y Np S
4 1 3 8
Cartesian
-2.281 -0.173 -3.193
-3.083 2.409 -0.344
0.000 0.000 0.000
-0.802 2.582 2.849
-0.490 -3.751 0.554
-2.771 -3.924 -2.640
-3.573 -1.342 0.209
-1.292 -1.169 3.403
-1.887 -5.725 -0.755
-2.688 -3.145 2.091
-2.188 0.619 1.529
-4.171 -5.898 -3.951
-2.976 3.214 4.370
-4.959 -3.303 -1.110
-4.458 0.461 -1.672
-5.259 3.041 1.174
```

Record 4
The following is a DFT calculation (GGA-PBE) of LiBiP3 after structural relaxation.

* ΔH_f (0 K): 1.092 eV/atom
* SG: Pm-3m (221)
* total magnetization: 1.27 μB per formula unit

Structure (POSCAR):
```
LiBiP3
1.0
-4.871 1.277 1.721
1.364 -1.449 4.936
1.653 4.959 0.999
P Bi Li
3 1 1
Cartesian
0.682 -0.724 2.468
0.827 2.479 0.499
-2.436 0.639 0.860
0.000 0.000 0.000
-0.927 2.394 3.828
```

Record 5
The following is a DFT calculation (GGA-PBE) of Mg2Si3 after structural relaxation.

* raw formation energy: 0.142 eV/atom
* SG: P1 (1)
* total magnetization: 0.00 μB per formula unit

Structure (POSCAR):
```
Mg2Si3
1.0
-2.400 1.312 2.494
3.692 4.225 -0.894
-10.221 6.021 -15.528
Mg Si
8 12
Cartesian
-6.439 7.800 -13.818
-3.788 3.445 -1.494
-9.887 6.499 -14.052
1.068 5.680 -0.163
-0.816 5.319 -4.992
-5.987 6.469 -11.065
-3.662 6.345 -6.100
-4.743 4.768 -8.749
-8.565 9.598 -13.988
-0.062 2.748 0.091
-10.040 6.778 -10.477
0.498 2.917 -2.194
-5.624 3.808 -3.585
-7.692 4.983 -8.714
-5.210 3.915 -6.067
-3.060 7.076 -8.879
-3.305 4.316 -4.216
-5.446 7.544 -8.640
-4.975 9.141 -11.795
0.838 5.118 -2.889
```

Record 6
The following is a DFT calculation (GGA-PBE) of ZnNi2Te after structural relaxation.

* raw formation energy: 0.063 eV/atom
* SG: Pmmm (47)
* total magnetization: 0.00 μB per formula unit

Structure (POSCAR):
```
ZnNi2Te
1.0
-1.163 -0.656 2.925
-2.737 -0.907 -1.292
-0.725 -6.379 -1.718
Ni Te Zn
2 1 1
Cartesian
-0.772 -6.251 -1.708
-1.684 -3.771 -1.515
-1.447 -2.149 0.710
-3.178 -5.792 -0.795
```